This record from the Alexandria database describes a geometry-optimized VReNF2 structure. The functional is PBE+U.

Properties
- space-group type = P4/mmm (123)
- uncorrected energy (eV/atom) = -6.43
- offset from the most stable computed form (meV per atom) = 170

Cell and atoms, written as POSCAR:
```
VReNF2
1.0
3.938 0.000 0.000
0.000 3.938 0.000
0.000 0.000 4.235
V Re N F
1 1 1 2
Direct
0.000 0.000 0.000
0.500 0.500 0.500
0.000 0.000 0.500
0.000 0.500 0.000
0.500 0.000 0.000
```